Material: Mg3CuAg
Method: DFT, PBE
State: optimized geometry Values from VASP.

Computed properties:
**N(E_F)**: 2.03 states/eV/cell
**Distance to the lowest polymorph of the same formula**: 0 meV/atom
**ΔE_f**: 201 meV/atom
**Calculated total energy**: -2.15 eV/atom

Cell and atoms, written as Quantum ESPRESSO input:
```
&SYSTEM
  ibrav = 0, nat = 5, ntyp = 3
/
ATOMIC_SPECIES
Mg 24.30 Mg.upf
Cu 63.55 Cu.upf
Ag 107.87 Ag.upf
ATOMIC_POSITIONS angstrom
Mg 0.000 0.000 2.425
Mg 0.000 2.425 0.000
Mg 2.425 0.000 0.000
Cu 0.000 0.000 0.000
Ag 2.425 2.425 2.425
CELL_PARAMETERS angstrom
4.850 0.000 0.000
0.000 4.850 0.000
0.000 0.000 4.850
```